1) The following is a DFT calculation (SCAN) of a PBEsol-optimized structure of CaPdBr3.

Cell lengths 5.107, 5.107, 5.107 Å; angles 90.00, 90.00, 90.00 degrees
Positions (direct):
Ca (0.000, 0.000, 0.000)
Pd (0.500, 0.500, 0.500)
Br (0.000, 0.500, 0.500)
Br (0.500, 0.000, 0.500)
Br (0.500, 0.500, 0.000)

Output
total magnetization: 0.0 Bohr magnetons per cell
D(E_F): 1.01 states/eV per cell


2) The following is a DFT calculation (SCAN) of a PBEsol-optimized structure of CaPdBr3.

Cell lengths 5.470, 5.470, 5.470 Å; angles 90.00, 90.00, 90.00 degrees
Positions (direct):
Ca (0.000, 0.000, 0.000)
Pd (0.500, 0.500, 0.500)
Br (0.000, 0.000, 0.500)
Br (0.000, 0.500, 0.000)
Br (0.500, 0.000, 0.000)

Output
total magnetization: 1.0 Bohr magnetons per cell
D(E_F): 10.11 states/eV per cell


Which is the most stable structure? 1) is the most stable.


1) The following is a DFT calculation (SCAN) of a PBEsol-optimized structure of CaPtBr2.

Cell lengths 5.140, 5.140, 5.140 Å; angles 131.20, 116.03, 84.40 degrees
Positions (direct):
Ca (0.000, 0.000, 0.000)
Pt (0.500, 0.500, 0.000)
Br (0.285, 0.785, 0.500)
Br (0.715, 0.215, 0.500)

Output
total magnetization: 0.0 Bohr magnetons per cell
D(E_F): 0.16 states/eV per cell


2) The following is a DFT calculation (SCAN) of a PBEsol-optimized structure of CaPtBr2.

Cell lengths 7.304, 7.304, 3.933 Å; angles 105.53, 105.53, 29.02 degrees
Positions (direct):
Ca (0.000, 0.000, 0.000)
Pt (0.337, 0.337, 0.838)
Br (0.595, 0.595, 0.594)
Br (0.835, 0.835, 0.336)

Output
total magnetization: 0.0 Bohr magnetons per cell
D(E_F): 1.04 states/eV per cell


Which is the most stable structure? 2) is the most stable.


1) The following is a DFT calculation (SCAN) of a PBEsol-optimized structure of CaRuBr2.

Cell lengths 6.450, 6.450, 6.450 Å; angles 146.78, 137.37, 55.08 degrees
Positions (direct):
Ca (0.000, 0.000, 0.000)
Ru (0.500, 0.500, 0.000)
Br (0.351, 0.851, 0.500)
Br (0.649, 0.149, 0.500)

Output
total magnetization: 0.0 Bohr magnetons per cell


2) The following is a DFT calculation (SCAN) of a PBEsol-optimized structure of CaRuBr2.

Cell lengths 4.685, 4.685, 3.436 Å; angles 90.00, 90.00, 90.00 degrees
Positions (direct):
Ca (0.000, 0.000, 0.000)
Ru (0.500, 0.500, 0.000)
Br (0.000, 0.500, 0.500)
Br (0.500, 0.000, 0.500)

Output
total magnetization: 0.0 Bohr magnetons per cell
D(E_F): 2.70 states/eV per cell


Which is the most stable structure? 1) is the most stable.


1) The following is a DFT calculation (SCAN) of a PBEsol-optimized structure of CaSbBr2.

Cell lengths 3.856, 3.856, 7.142 Å; angles 90.00, 90.00, 90.00 degrees
Positions (direct):
Ca (0.000, 0.000, 0.000)
Sb (0.500, 0.500, 0.296)
Br (0.000, 0.000, 0.568)
Br (0.500, 0.500, 0.866)

Output
total magnetization: 0.0 Bohr magnetons per cell
D(E_F): 1.63 states/eV per cell


2) The following is a DFT calculation (SCAN) of a PBEsol-optimized structure of CaSbBr2.

Cell lengths 3.407, 3.407, 11.067 Å; angles 90.00, 90.00, 90.00 degrees
Positions (direct):
Ca (0.000, 0.000, 0.000)
Sb (0.000, 0.000, 0.500)
Br (0.500, 0.500, 0.155)
Br (0.500, 0.500, 0.845)

Output
total magnetization: 0.4 Bohr magnetons per cell
D(E_F): 1.21 states/eV per cell


Which is the most stable structure? 2) is the most stable.


1) The following is a DFT calculation (SCAN) of a PBEsol-optimized structure of CaScBr2.

Cell lengths 5.172, 5.471, 5.471 Å; angles 38.58, 90.00, 90.00 degrees
Positions (direct):
Ca (0.000, 0.000, 0.000)
Sc (0.500, 0.699, 0.699)
Br (0.000, 0.719, 0.719)
Br (0.500, 0.418, 0.418)

Output
total magnetization: 0.3 Bohr magnetons per cell
D(E_F): 2.67 states/eV per cell


2) The following is a DFT calculation (SCAN) of a PBEsol-optimized structure of CaScBr2.

Cell lengths 4.693, 4.693, 6.255 Å; angles 103.01, 103.01, 44.95 degrees
Positions (direct):
Ca (0.000, 0.000, 0.000)
Sc (0.500, 0.500, 0.500)
Br (0.239, 0.239, 0.726)
Br (0.761, 0.761, 0.274)

Output
total magnetization: 1.1 Bohr magnetons per cell
D(E_F): 2.62 states/eV per cell


3) The following is a DFT calculation (SCAN) of a PBEsol-optimized structure of CaScBr2.

Cell lengths 7.757, 7.757, 7.757 Å; angles 132.09, 132.09, 70.09 degrees
Positions (direct):
Ca (0.000, 0.000, 0.000)
Ca (0.750, 0.250, 0.500)
Sc (0.250, 0.750, 0.500)
Sc (0.500, 0.500, 0.000)
Br (0.150, 0.625, 0.025)
Br (0.375, 0.400, 0.525)
Br (0.600, 0.125, 0.975)
Br (0.875, 0.850, 0.475)

Output
total magnetization: 0.0 Bohr magnetons per cell
D(E_F): 6.55 states/eV per cell


4) The following is a DFT calculation (SCAN) of a PBEsol-optimized structure of CaScBr2.

Cell lengths 3.533, 3.533, 8.680 Å; angles 90.00, 90.00, 90.00 degrees
Positions (direct):
Ca (0.000, 0.000, 0.000)
Sc (0.500, 0.500, 0.314)
Br (0.000, 0.000, 0.467)
Br (0.500, 0.500, 0.818)

Output
total magnetization: 1.0 Bohr magnetons per cell
D(E_F): 1.01 states/eV per cell


Which is the most stable structure? 4) is the most stable.


1) The following is a DFT calculation (SCAN) of a PBEsol-optimized structure of CaSiSe2Br.

Cell lengths 4.909, 4.909, 5.007 Å; angles 90.00, 90.00, 90.00 degrees
Positions (direct):
Ca (0.000, 0.000, 0.000)
Si (0.500, 0.500, 0.500)
Se (0.000, 0.500, 0.500)
Se (0.500, 0.000, 0.500)
Br (0.500, 0.500, 0.000)

Output
total magnetization: 0.0 Bohr magnetons per cell
D(E_F): 0.89 states/eV per cell


2) The following is a DFT calculation (SCAN) of a PBEsol-optimized structure of CaSiSe2Br.

Cell lengths 5.358, 5.358, 5.266 Å; angles 90.00, 90.00, 90.00 degrees
Positions (direct):
Ca (0.000, 0.000, 0.000)
Si (0.500, 0.500, 0.500)
Se (0.000, 0.500, 0.000)
Se (0.500, 0.000, 0.000)
Br (0.000, 0.000, 0.500)

Output
total magnetization: 0.0 Bohr magnetons per cell
D(E_F): 5.05 states/eV per cell


Which is the most stable structure? 1) is the most stable.


1) The following is a DFT calculation (SCAN) of a PBEsol-optimized structure of SrCaBr2.

Cell lengths 10.039, 10.039, 3.828 Å; angles 90.29, 90.29, 21.95 degrees
Positions (direct):
Sr (0.000, 0.000, 0.000)
Ca (0.664, 0.664, 0.506)
Br (0.234, 0.234, 0.007)
Br (0.421, 0.421, 0.498)

Output
total magnetization: 0.0 Bohr magnetons per cell
D(E_F): 1.16 states/eV per cell


2) The following is a DFT calculation (SCAN) of a PBEsol-optimized structure of SrCaBr2.

Cell lengths 3.753, 3.753, 10.248 Å; angles 90.00, 90.00, 90.00 degrees
Positions (direct):
Sr (0.000, 0.000, 0.000)
Ca (0.000, 0.000, 0.500)
Br (0.500, 0.500, 0.169)
Br (0.500, 0.500, 0.831)

Output
total magnetization: 0.2 Bohr magnetons per cell
D(E_F): 1.30 states/eV per cell


Which is the most stable structure? 1) is the most stable.


1) The following is a DFT calculation (SCAN) of a PBEsol-optimized structure of Sr2CaBr.

Cell lengths 7.550, 7.550, 7.550 Å; angles 141.41, 141.41, 55.73 degrees
Positions (direct):
Sr (0.000, 0.000, 0.000)
Sr (0.750, 0.250, 0.500)
Ca (0.250, 0.750, 0.500)
Br (0.500, 0.500, 0.000)

Output
total magnetization: 0.0 Bohr magnetons per cell
D(E_F): 3.64 states/eV per cell


2) The following is a DFT calculation (SCAN) of a PBEsol-optimized structure of Sr2CaBr.

Cell lengths 11.273, 11.273, 11.273 Å; angles 20.80, 20.80, 20.80 degrees
Positions (direct):
Sr (0.236, 0.236, 0.236)
Sr (0.764, 0.764, 0.764)
Ca (0.000, 0.000, 0.000)
Br (0.500, 0.500, 0.500)

Output
total magnetization: 0.6 Bohr magnetons per cell
D(E_F): 3.18 states/eV per cell


Which is the most stable structure? 2) is the most stable.


1) The following is a DFT calculation (SCAN) of a PBEsol-optimized structure of Sr2CaBr.

Cell lengths 4.220, 5.893, 6.837 Å; angles 90.00, 90.00, 90.00 degrees
Positions (direct):
Sr (0.000, 0.000, 0.000)
Sr (0.500, 0.000, 0.500)
Ca (0.000, 0.500, 0.500)
Br (0.500, 0.500, 0.000)

Output
total magnetization: 0.0 Bohr magnetons per cell
D(E_F): 3.37 states/eV per cell


2) The following is a DFT calculation (SCAN) of a PBEsol-optimized structure of Sr2CaBr.

Cell lengths 3.851, 3.851, 10.393 Å; angles 90.00, 90.00, 90.00 degrees
Positions (direct):
Sr (0.000, 0.000, 0.216)
Sr (0.000, 0.000, 0.784)
Ca (0.500, 0.500, 0.500)
Br (0.500, 0.500, 0.000)

Output
total magnetization: 0.3 Bohr magnetons per cell
D(E_F): 2.89 states/eV per cell


Which is the most stable structure? 2) is the most stable.


1) The following is a DFT calculation (SCAN) of a PBEsol-optimized structure of CaTeBr2.

Cell lengths 9.594, 9.594, 9.594 Å; angles 23.53, 23.53, 23.53 degrees
Positions (direct):
Ca (0.000, 0.000, 0.000)
Te (0.750, 0.750, 0.750)
Br (0.274, 0.274, 0.274)
Br (0.496, 0.496, 0.496)

Output
total magnetization: 1.5 Bohr magnetons per cell
D(E_F): 2.36 states/eV per cell


2) The following is a DFT calculation (SCAN) of a PBEsol-optimized structure of CaTeBr2.

Cell lengths 5.363, 5.363, 5.363 Å; angles 60.00, 60.00, 60.00 degrees
Positions (direct):
Ca (0.000, 0.000, 0.000)
Te (0.750, 0.750, 0.750)
Br (0.250, 0.250, 0.250)
Br (0.500, 0.500, 0.500)

Output
total magnetization: 2.0 Bohr magnetons per cell
D(E_F): 2.50 states/eV per cell


3) The following is a DFT calculation (SCAN) of a PBEsol-optimized structure of CaTeBr2.

Cell lengths 4.850, 4.850, 4.542 Å; angles 90.00, 90.00, 90.00 degrees
Positions (direct):
Ca (0.000, 0.000, 0.000)
Te (0.500, 0.500, 0.000)
Br (0.000, 0.500, 0.500)
Br (0.500, 0.000, 0.500)

Output
total magnetization: 0.0 Bohr magnetons per cell
D(E_F): 2.04 states/eV per cell


4) The following is a DFT calculation (SCAN) of a PBEsol-optimized structure of CaTeBr2.

Cell lengths 3.725, 3.725, 7.817 Å; angles 90.00, 90.00, 90.00 degrees
Positions (direct):
Ca (0.000, 0.000, 0.000)
Te (0.500, 0.500, 0.278)
Br (0.000, 0.000, 0.509)
Br (0.500, 0.500, 0.829)

Output
total magnetization: 0.0 Bohr magnetons per cell
D(E_F): 2.06 states/eV per cell


Which is the most stable structure? 4) is the most stable.


1) The following is a DFT calculation (SCAN) of a PBEsol-optimized structure of CaZn2Br.

Cell lengths 4.271, 4.271, 5.488 Å; angles 90.00, 90.00, 90.00 degrees
Positions (direct):
Ca (0.000, 0.000, 0.000)
Zn (0.500, 0.500, 0.261)
Zn (0.500, 0.500, 0.739)
Br (0.000, 0.000, 0.500)

Output
total magnetization: 0.0 Bohr magnetons per cell
D(E_F): 1.92 states/eV per cell


2) The following is a DFT calculation (SCAN) of a PBEsol-optimized structure of CaZn2Br.

Cell lengths 3.943, 4.041, 5.642 Å; angles 90.00, 90.00, 90.00 degrees
Positions (direct):
Ca (0.000, 0.000, 0.000)
Zn (0.000, 0.500, 0.500)
Zn (0.500, 0.000, 0.500)
Br (0.500, 0.500, 0.000)

Output
total magnetization: 0.0 Bohr magnetons per cell
D(E_F): 1.41 states/eV per cell


Which is the most stable structure? 2) is the most stable.


1) The following is a DFT calculation (SCAN) of a PBEsol-optimized structure of CaZrBr2.

Cell lengths 3.627, 3.627, 9.272 Å; angles 90.00, 90.00, 124.57 degrees
Positions (direct):
Ca (0.000, 0.000, 0.000)
Zr (0.000, 0.000, 0.500)
Br (0.500, 0.500, 0.263)
Br (0.500, 0.500, 0.737)

Output
total magnetization: 0.4 Bohr magnetons per cell
D(E_F): 2.59 states/eV per cell


2) The following is a DFT calculation (SCAN) of a PBEsol-optimized structure of CaZrBr2.

Cell lengths 5.703, 5.703, 3.463 Å; angles 106.71, 106.71, 104.30 degrees
Positions (direct):
Ca (0.000, 0.000, 0.000)
Zr (0.500, 0.500, 0.000)
Br (0.000, 0.500, 0.000)
Br (0.500, 0.000, 0.000)

Output
total magnetization: 0.0 Bohr magnetons per cell
D(E_F): 2.49 states/eV per cell


3) The following is a DFT calculation (SCAN) of a PBEsol-optimized structure of CaZrBr2.

Cell lengths 9.549, 9.549, 9.549 Å; angles 149.75, 149.75, 43.31 degrees
Positions (direct):
Ca (0.000, 0.000, 0.000)
Ca (0.750, 0.250, 0.500)
Zr (0.250, 0.750, 0.500)
Zr (0.500, 0.500, 0.000)
Br (0.157, 0.625, 0.032)
Br (0.375, 0.407, 0.532)
Br (0.593, 0.125, 0.968)
Br (0.875, 0.843, 0.468)

Output
total magnetization: 2.9 Bohr magnetons per cell
D(E_F): 6.09 states/eV per cell


Which is the most stable structure? 1) is the most stable.